VASP calculation (PBE) on a relaxed structure of TbCeOs.

The offset from the most stable computed form is 28 kJ/mol of formula units.

The structure belongs to space group C2/m (No. 12); the cell edges are 8.561, 4.951 and 7.989 Å and the angles 90.00°, 110.99° and 90.00°. The distinct sites, in fractional coordinates, are Tb at (0.125, 0.000, 0.374), Ce at (0.126, 0.500, 0.877) and Os at (0.246, 0.500, 0.237).

=====

VASP calculation (PBE) on a relaxed structure of PmTmAl2Ga2.

The structure belongs to space group P-3m1 (No. 164); the cell edges are 4.4988, 4.4988 and 7.1234 Å and the angles 90.00°, 90.00° and 120.00°. The distinct sites, in fractional coordinates, are Pm at (0.0000, 0.0000, 0.0000), Tm at (0.0000, 0.0000, 0.5000), Al at (0.3333, 0.6667, 0.2640) and Ga at (0.3333, 0.6667, 0.7325).

=====

VASP calculation (PBE) on a relaxed structure of Dy6In3Ag.

The structure belongs to space group P2_1/m (No. 11); the cell edges are 9.274, 5.305 and 11.628 Å and the angles 90.00°, 108.61° and 90.00°. The distinct sites, in fractional coordinates, are Dy at (0.040, 0.250, 0.415), Dy at (0.169, 0.750, 0.172), Dy at (0.261, 0.250, 0.004), Dy at (0.345, 0.750, 0.809), Dy at (0.364, 0.250, 0.338), Dy at (0.405, 0.250, 0.628), In at (0.027, 0.750, 0.879), In at (0.119, 0.250, 0.717), In at (0.276, 0.750, 0.473) and Ag at (0.459, 0.750, 0.099).

=====

VASP calculation (PBE) on a relaxed structure of Ac6GePt2Se3.

As for the formation energy from raw total energies: -1678 kJ/mol of formula units.

The structure belongs to space group C2/m (No. 12); the cell edges are 19.911, 4.449 and 9.212 Å and the angles 90.00°, 106.35° and 90.00°. The distinct sites, in fractional coordinates, are Ac at (0.006, 0.000, 0.247), Ac at (0.165, 0.500, 0.099), Ac at (0.173, 0.500, 0.572), Ge at (0.000, 0.500, 0.000), Pt at (0.169, 0.000, 0.336), Se at (0.000, 0.500, 0.500) and Se at (0.163, 0.000, 0.838).

=====

VASP calculation (PBE) on a relaxed structure of Ho3Ge4Ir2.

The offset from the most stable computed form is 20 kJ/mol of formula units.

The structure belongs to space group C2/m (No. 12); the cell edges are 10.522, 4.467 and 8.138 Å and the angles 90.00°, 109.86° and 90.00°. The distinct sites, in fractional coordinates, are Ho at (0.000, 0.000, 0.000), Ho at (0.180, 0.500, 0.644), Ge at (0.047, 0.000, 0.380), Ge at (0.188, 0.500, 0.026) and Ir at (0.067, 0.500, 0.251).

=====

VASP calculation (PBE) on a relaxed structure of AlTlHgGe2.

The structure belongs to space group P4/mmm (No. 123); the cell edges are 4.945, 4.945 and 5.530 Å and the angles 90.00°, 90.00° and 90.00°. The distinct sites, in fractional coordinates, are Al at (0.000, 0.000, 0.000), Tl at (0.000, 0.000, 0.500), Hg at (0.500, 0.500, 0.500) and Ge at (0.000, 0.500, 0.000).

=====

VASP calculation (PBE) on a relaxed structure of Pu3Cd4Au4.

The offset from the most stable computed form is 61 kJ/mol of formula units.

The structure belongs to space group Amm2 (No. 38); the cell edges are 9.279, 4.886 and 11.260 Å and the angles 90.00°, 90.00° and 90.00°. The distinct sites, in fractional coordinates, are Pu at (0.000, 0.000, 0.000), Pu at (0.298, 0.000, 0.125), Cd at (0.000, 0.000, 0.294), Cd at (0.275, 0.000, 0.825), Cd at (0.500, 0.000, 0.378), Au at (0.000, 0.000, 0.667), Au at (0.219, 0.000, 0.469) and Au at (0.500, 0.000, 0.651).

=====

VASP calculation (PBE) on a relaxed structure of Rb4TbBi3O12.

As for the formation energy from raw total energies: -2485 kJ/mol of formula units.

The structure belongs to space group Im-3m (No. 229); the cell edges are 8.717, 8.717 and 8.717 Å and the angles 90.00°, 90.00° and 90.00°. The distinct sites, in fractional coordinates, are Rb at (0.250, 0.250, 0.250), Tb at (0.000, 0.000, 0.000), Bi at (0.000, 0.000, 0.500), O at (0.000, 0.000, 0.261) and O at (0.000, 0.250, 0.500).

=====

VASP calculation (PBE) on a relaxed structure of MgZrBe.

The offset from the most stable computed form is 49 kJ/mol of formula units.

The structure belongs to space group F-43m (No. 216); the cell edges are 6.084, 6.084 and 6.084 Å and the angles 90.00°, 90.00° and 90.00°. The distinct sites, in fractional coordinates, are Mg at (0.000, 0.000, 0.000), Zr at (0.000, 0.000, 0.500) and Be at (0.250, 0.250, 0.750).

=====

VASP calculation (PBE) on a relaxed structure of Ba8InHg2.

The offset from the most stable computed form is 0 kJ/mol of formula units.

The structure belongs to space group C2/m (No. 12); the cell edges are 21.236, 6.062 and 8.515 Å and the angles 90.00°, 108.90° and 90.00°. The distinct sites, in fractional coordinates, are Ba at (0.035, 0.000, 0.298), Ba at (0.094, 0.500, 0.949), Ba at (0.170, 0.500, 0.466), Ba at (0.200, 0.000, 0.815), In at (0.000, 0.500, 0.500) and Hg at (0.185, 0.000, 0.203).

=====

VASP calculation (PBE) on a relaxed structure of Th2UTl.

The offset from the most stable computed form is 89 kJ/mol of formula units.

The structure belongs to space group R-3m (No. 166, hexagonal axes); the cell edges are 3.2876, 3.2876 and 36.5320 Å and the angles 90.00°, 90.00° and 120.00°. The distinct sites, in fractional coordinates, are Th at (0.0000, 0.0000, 0.0876), U at (0.0000, 0.0000, 0.0000) and Tl at (0.0000, 0.0000, 0.5000).

=====

VASP calculation (PBE) on a relaxed structure of Ba3Pa2O5F2.

As for the formation energy from raw total energies: -3537 kJ/mol of formula units.

The structure belongs to space group I4/mmm (No. 139); the cell edges are 4.056, 4.056 and 27.453 Å and the angles 90.00°, 90.00° and 90.00°. The distinct sites, in fractional coordinates, are Ba at (0.000, 0.000, 0.000), Ba at (0.000, 0.000, 0.186), Pa at (0.000, 0.000, 0.414), O at (0.000, 0.000, 0.500), O at (0.000, 0.500, 0.120) and F at (0.000, 0.000, 0.285).

=====

VASP calculation (PBE) on a relaxed structure of KTePt2.

As for the formation energy from raw total energies: 81 kJ/mol of formula units.

The structure belongs to space group I-4m2 (No. 119); the cell edges are 4.259, 4.259 and 9.162 Å and the angles 90.00°, 90.00° and 90.00°. The distinct sites, in fractional coordinates, are K at (0.000, 0.000, 0.000), Te at (0.000, 0.500, 0.250), Pt at (0.000, 0.000, 0.500) and Pt at (0.000, 0.500, 0.750).

=====

VASP calculation (PBE) on a relaxed structure of Ho5Tm4Sc2.

The offset from the most stable computed form is 230 kJ/mol of formula units.

The structure belongs to space group Immm (No. 71); the cell edges are 3.420, 8.903 and 22.385 Å and the angles 90.00°, 90.00° and 90.00°. The distinct sites, in fractional coordinates, are Ho at (0.000, 0.000, 0.000), Ho at (0.000, 0.298, 0.350), Tm at (0.000, 0.189, 0.500), Tm at (0.000, 0.500, 0.099) and Sc at (0.000, 0.500, 0.230).

=====

VASP calculation (PBE) on a relaxed structure of Zn6CdAg6.

The structure belongs to space group Immm (No. 71); the cell edges are 5.175, 9.088 and 9.340 Å and the angles 90.00°, 90.00° and 90.00°. The distinct sites, in fractional coordinates, are Zn at (0.000, 0.000, 0.238), Zn at (0.250, 0.250, 0.250), Cd at (0.000, 0.500, 0.500), Ag at (0.000, 0.158, 0.500), Ag at (0.000, 0.179, 0.000) and Ag at (0.000, 0.500, 0.151).

=====

Number 1: total energy -88.93 eV/cell. Number 2: total energy -26.16 eV/cell. Number 3: total energy -83.82 eV/cell. Number 4: total energy -138.38 eV/cell. Number 5: total energy -114.31 eV/cell. Number 6: total energy -13.43 eV/cell. Number 7: total energy -124.49 eV/cell. Number 8: total energy -210.78 eV/cell. Number 9: total energy -52.87 eV/cell. Number 10: total energy -43.04 eV/cell. Number 11: total energy -80.26 eV/cell. Number 12: total energy -179.90 eV/cell. Number 13: total energy -30.96 eV/cell. Number 14: total energy -101.26 eV/cell. Number 15: total energy -51.95 eV/cell.